1.
This record from Alexandria via LeMat-Bulk describes crystalline CsPaGeO6 at its relaxed geometry. The functional is PBE.

## Properties
N(E_F)	0.3833	states/eV/atom
E_tot	-6.926	eV/atom

abc: 5.460 5.460 6.819
angles: 90.00 90.00 59.99
Each line ends with the local moment (μB).
Fractional coordinates of all 9 atoms:
Cs  0.000  0.000  0.000  0.01
Pa  0.667  0.667  0.500  0.16
Ge  0.333  0.333  0.500  -0.03
O  0.030  0.369  0.336  0.27
O  0.369  0.030  0.664  0.27
O  0.602  0.369  0.664  0.27
O  0.030  0.602  0.664  0.27
O  0.369  0.602  0.336  0.27
O  0.602  0.030  0.336  0.27

---

2.
This record from Alexandria via LeMat-Bulk describes crystalline InHgRh2 at its relaxed geometry. The functional is PBE.

## Properties
N(E_F)	1.0639	states/eV/atom
energy relative to the elements	0.041	eV per atom
E_tot	-4.394	eV/atom

abc: 5.105 5.105 5.105
angles: 133.32 133.32 68.16
Fractional coordinates of all 4 atoms:
In  0.750  0.250  0.500
Hg  0.500  0.500  0.000
Rh  0.000  0.000  0.000
Rh  0.250  0.750  0.500

---

3.
This record from Alexandria via LeMat-Bulk describes crystalline CdPd5Pt4 at its relaxed geometry. The functional is PBE.

## Properties
N(E_F)	1.7669	states/eV/atom
energy relative to the elements	0.099	eV per atom
E_tot	-5.005	eV/atom

abc: 4.694 9.150 8.193
angles: 90.00 90.00 90.00
Fractional coordinates of all 20 atoms:
Cd  0.572  0.000  0.000
Cd  0.428  0.500  0.500
Pd  0.250  0.753  0.670
Pd  0.250  0.247  0.670
Pd  0.600  0.500  0.000
Pd  0.250  0.753  0.330
Pd  0.250  0.247  0.330
Pd  0.750  0.747  0.170
Pd  0.750  0.253  0.170
Pd  0.400  0.000  0.500
Pd  0.750  0.253  0.830
Pd  0.750  0.747  0.830
Pt  0.893  0.000  0.680
Pt  0.246  0.744  0.000
Pt  0.246  0.256  0.000
Pt  0.893  0.000  0.320
Pt  0.107  0.500  0.180
Pt  0.754  0.756  0.500
Pt  0.754  0.244  0.500
Pt  0.107  0.500  0.820

---

4.
This record from Alexandria via LeMat-Bulk describes crystalline BaVCd2Pt at its relaxed geometry. The functional is PBE.

## Properties
N(E_F)	0.7633	states/eV/atom
energy relative to the elements	0.831	eV per atom
E_tot	-2.952	eV/atom

abc: 5.196 6.021 5.196
angles: 90.00 90.00 90.00
Each line ends with the local moment (μB).
Fractional coordinates of all 5 atoms:
V  0.000  0.000  0.000  3.10
Ba  0.000  0.500  0.000  0.17
Pt  0.500  0.500  0.500  0.11
Cd  0.000  0.000  0.500  0.07
Cd  0.500  0.000  0.000  0.09

---

5.
This record from Alexandria via LeMat-Bulk describes crystalline HgSeBr at its relaxed geometry. The functional is PBE.

## Properties
E_tot	-2.103	eV/atom
energy relative to the lowest polymorph listed for this composition	0.000	eV per atom

abc: 4.349 6.652 7.438
angles: 78.27 90.28 69.29
Fractional coordinates of all 6 atoms:
Hg  0.085  0.843  0.294
Hg  0.915  0.157  0.706
Se  0.600  0.812  0.090
Se  0.400  0.188  0.910
Br  0.837  0.298  0.340
Br  0.163  0.702  0.660

---

6.
This record from Alexandria via LeMat-Bulk describes crystalline LiLaSc2Tl4 at its relaxed geometry. The functional is PBE.

## Properties
N(E_F)	0.5972	states/eV/atom
energy relative to the elements	-0.276	eV per atom
E_tot	-3.897	eV/atom

abc: 5.142 5.142 9.371
angles: 74.08 74.08 60.00
Fractional coordinates of all 8 atoms:
Li  0.500  0.500  0.500
La  0.000  0.000  0.000
Sc  0.755  0.755  0.734
Sc  0.245  0.245  0.266
Tl  0.384  0.384  0.847
Tl  0.870  0.870  0.390
Tl  0.130  0.130  0.610
Tl  0.616  0.616  0.153

---

7.
This record from Alexandria via LeMat-Bulk describes crystalline YTeRh2 at its relaxed geometry. The functional is PBE.

## Properties
N(E_F)	1.8602	states/eV/atom
E_tot	-6.346	eV/atom
energy relative to the lowest polymorph listed for this composition	0.346	eV per atom

abc: 4.798 4.798 4.798
angles: 60.00 60.00 60.00
Fractional coordinates of all 4 atoms:
Rh  0.000  0.000  0.000
Rh  0.250  0.250  0.250
Te  0.500  0.500  0.500
Y  0.750  0.750  0.750

---

8.
This record from Alexandria via LeMat-Bulk describes crystalline LaPrNd6Tm2 at its relaxed geometry. The functional is PBE.

## Properties
N(E_F)	1.4339	states/eV/atom
energy relative to the elements	0.109	eV per atom
E_tot	-4.616	eV/atom

abc: 9.793 8.970 8.970
angles: 116.65 93.85 93.85
Fractional coordinates of all 20 atoms:
La  0.250  0.406  0.594
La  0.750  0.594  0.406
Pr  0.250  0.966  0.034
Pr  0.750  0.034  0.966
Nd  0.057  0.107  0.759
Nd  0.443  0.241  0.893
Nd  0.943  0.893  0.241
Nd  0.557  0.759  0.107
Nd  0.321  0.984  0.438
Nd  0.179  0.562  0.016
Nd  0.679  0.016  0.562
Nd  0.821  0.438  0.984
Nd  0.119  0.703  0.485
Nd  0.381  0.515  0.297
Nd  0.881  0.297  0.515
Nd  0.619  0.485  0.703
Tm  0.450  0.802  0.706
Tm  0.050  0.294  0.198
Tm  0.550  0.198  0.294
Tm  0.950  0.706  0.802

---

9.
This record from Alexandria via LeMat-Bulk describes crystalline NaLa3Nd2Se6 at its relaxed geometry. The functional is PBE.

## Properties
N(E_F)	0.3759	states/eV/atom
E_tot	-5.749	eV/atom

abc: 4.285 8.535 9.554
angles: 102.13 102.96 90.00
Fractional coordinates of all 12 atoms:
Na  0.500  0.000  0.000
La  0.500  0.500  0.000
La  0.836  0.169  0.671
La  0.164  0.831  0.329
Nd  0.830  0.658  0.661
Nd  0.170  0.342  0.339
Se  0.334  0.913  0.667
Se  0.666  0.584  0.332
Se  0.666  0.087  0.333
Se  0.003  0.249  0.006
Se  0.997  0.751  0.994
Se  0.334  0.416  0.668

---

10.
This record from Alexandria via LeMat-Bulk describes crystalline Ce2AlB2Ru5 at its relaxed geometry. The functional is PBE.

## Properties
N(E_F)	0.3830	states/eV/atom
energy relative to the elements	-0.565	eV per atom
E_tot	-8.099	eV/atom

abc: 3.123 9.637 9.637
angles: 90.00 90.00 90.00
Fractional coordinates of all 20 atoms:
Ce  0.000  0.676  0.176
Ce  0.000  0.324  0.824
Ce  0.000  0.176  0.324
Ce  0.000  0.824  0.676
Al  0.000  0.000  0.000
Al  0.000  0.500  0.500
B  0.000  0.124  0.624
B  0.000  0.876  0.376
B  0.000  0.624  0.876
B  0.000  0.376  0.124
Ru  0.500  0.218  0.071
Ru  0.500  0.782  0.929
Ru  0.500  0.071  0.782
Ru  0.500  0.718  0.429
Ru  0.500  0.929  0.218
Ru  0.500  0.282  0.571
Ru  0.500  0.571  0.718
Ru  0.500  0.429  0.282
Ru  0.500  0.500  0.000
Ru  0.500  0.000  0.500

---

11.
This record from Alexandria via LeMat-Bulk describes crystalline LiHoTe2 at its relaxed geometry. The functional is PBE.

## Properties
E_tot	-4.396	eV/atom

abc: 4.216 4.216 7.775
angles: 74.27 74.27 60.00
Fractional coordinates of all 4 atoms:
Li  0.668  0.668  0.995
Ho  0.500  0.500  0.501
Te  0.080  0.080  0.761
Te  0.253  0.253  0.242

---

12.
This record from Alexandria via LeMat-Bulk describes crystalline Li2La3Hg3 at its relaxed geometry. The functional is PBE.

## Properties
N(E_F)	0.9467	states/eV/atom
energy relative to the elements	-0.337	eV per atom
E_tot	-2.777	eV/atom

abc: 3.952 5.344 10.824
angles: 104.29 100.52 90.00
Each line ends with the local moment (μB).
Fractional coordinates of all 8 atoms:
Li  0.741  0.241  0.481  0.00
Li  0.259  0.759  0.519  0.00
La  0.629  0.629  0.257  0.09
La  0.371  0.371  0.743  0.09
La  0.500  0.000  0.000  0.19
Hg  0.148  0.148  0.296  0.01
Hg  0.000  0.500  0.000  0.01
Hg  0.852  0.852  0.704  0.01